First-principles (PBE) data for crystalline Er4GaTe5 at its relaxed geometry, as listed in Alexandria via LeMat-Bulk.

Unit cell a=19.664 b=4.199 c=8.925 alpha=90.00 beta=106.40 gamma=90.00
Space group C2/m (No. 12)
One atom of each set of equivalent atoms:
Er 0.015 0.000 0.251 x4
Er 0.168 0.500 0.556 x4
Ga 0.000 0.500 0.500 x2
Te 0.000 0.500 0.000 x2
Te 0.138 0.000 0.772 x4
Te 0.174 0.000 0.311 x4

Results
Formation energy without anion corrections in eV per atom: -1.029